# TbPr4Dy2 (GGA-PBE, optimized geometry)
# Excess energy over the best structure of this formula in the dataset: 0.00 kcal/mol of atoms
# Energy of formation from the pure elements: 63 meV per atom
# Density of states at the Fermi level: 1.553 states/eV per atom
data_TbPr4Dy2
_cell_length_a 6.517
_cell_length_b 24.493
_cell_length_c 6.876
_cell_angle_alpha 90.00
_cell_angle_beta 118.28
_cell_angle_gamma 90.00
_symmetry_space_group_name_H-M 'C 1 c 1'
_symmetry_Int_Tables_number 9
loop_
_symmetry_equiv_pos_as_xyz
'x,y,z'
'x,-y,z+1/2'
'x+1/2,y+1/2,z'
'x+1/2,-y+1/2,z+1/2'
loop_
_atom_site_label
_atom_site_fract_x
_atom_site_fract_y
_atom_site_fract_z
_atom_site_occupancy
Tb1 0.000 0.125 0.000 1
Pr1 0.034 0.019 0.635 1
Pr2 0.047 0.446 0.601 1
Pr3 0.400 0.231 0.367 1
Pr4 0.445 0.195 0.900 1
Dy1 0.420 0.341 0.952 1
Dy2 0.468 0.091 0.548 1

***

# Tb8Pr3Dy2 (GGA-PBE, optimized geometry)
# Excess energy over the best structure of this formula in the dataset: 0.00 kcal/mol of atoms
# Energy of formation from the pure elements: 172 meV per atom
# Density of states at the Fermi level: 1.399 states/eV per atom
data_Tb8Pr3Dy2
_cell_length_a 9.138
_cell_length_b 15.430
_cell_length_c 12.386
_cell_angle_alpha 90.00
_cell_angle_beta 97.31
_cell_angle_gamma 90.00
_symmetry_space_group_name_H-M 'C 1 2/c 1'
_symmetry_Int_Tables_number 15
loop_
_symmetry_equiv_pos_as_xyz
'x,y,z'
'-x,-y,-z'
'-x,y,-z+1/2'
'x,-y,z+1/2'
'x+1/2,y+1/2,z'
'-x+1/2,-y+1/2,-z'
'-x+1/2,y+1/2,-z+1/2'
'x+1/2,-y+1/2,z+1/2'
loop_
_atom_site_label
_atom_site_fract_x
_atom_site_fract_y
_atom_site_fract_z
_atom_site_occupancy
Tb1 0.088 0.231 0.035 1
Tb2 0.185 0.141 0.286 1
Tb3 0.203 0.073 0.816 1
Tb4 0.247 0.349 0.448 1
Pr1 0.000 0.000 0.000 1
Pr2 0.000 0.253 0.750 1
Pr3 0.000 0.344 0.250 1
Dy1 0.066 0.443 0.897 1

***

# Tb9PrDy2 (GGA-PBE, optimized geometry)
# Excess energy over the best structure of this formula in the dataset: 0.38 kcal/mol of atoms
# Energy of formation from the pure elements: 37 meV per atom
# Density of states at the Fermi level: 1.290 states/eV per atom
data_Tb9PrDy2
_cell_length_a 11.2888
_cell_length_b 11.2888
_cell_length_c 3.5218
_cell_angle_alpha 90.00
_cell_angle_beta 90.00
_cell_angle_gamma 120.00
_symmetry_space_group_name_H-M 'P 6/m m m'
_symmetry_Int_Tables_number 191
_symmetry_space_group_name_Hall '-P 6 2'
loop_
_atom_site_label
_atom_site_fract_x
_atom_site_fract_y
_atom_site_fract_z
_atom_site_occupancy
Tb1 0.0000 0.5000 0.0000 1
Tb2 0.1777 0.3554 0.5000 1
Pr1 0.0000 0.0000 0.0000 1
Dy1 0.3333 0.6667 0.0000 1

***

# TbPr6Dy8 (GGA-PBE, optimized geometry)
# Excess energy over the best structure of this formula in the dataset: 1.40 kcal/mol of atoms
# Energy of formation from the pure elements: 179 meV per atom
# Density of states at the Fermi level: 1.651 states/eV per atom
data_TbPr6Dy8
_cell_length_a 9.9812
_cell_length_b 9.9812
_cell_length_c 5.9098
_cell_angle_alpha 90.00
_cell_angle_beta 90.00
_cell_angle_gamma 120.00
_symmetry_space_group_name_H-M 'P -3'
_symmetry_Int_Tables_number 147
loop_
_symmetry_equiv_pos_as_xyz
'x,y,z'
'-x,-y,-z'
'-y,x-y,z'
'y,-x+y,-z'
'-x+y,-x,z'
'x-y,x,-z'
loop_
_atom_site_label
_atom_site_fract_x
_atom_site_fract_y
_atom_site_fract_z
_atom_site_occupancy
Tb1 0.0000 0.0000 0.0000 1
Pr1 0.0541 0.7749 0.7286 1
Dy1 0.0934 0.6192 0.2439 1
Dy2 0.3333 0.6667 0.7264 1

***

# Tb2PrDy7 (GGA-PBE, optimized geometry)
# Excess energy over the best structure of this formula in the dataset: 14.95 kcal/mol of atoms
# Energy of formation from the pure elements: 694 meV per atom
# Density of states at the Fermi level: 1.409 states/eV per atom
data_Tb2PrDy7
_cell_length_a 8.724
_cell_length_b 16.118
_cell_length_c 5.617
_cell_angle_alpha 90.00
_cell_angle_beta 90.00
_cell_angle_gamma 90.00
_symmetry_space_group_name_H-M 'C m m m'
_symmetry_Int_Tables_number 65
_symmetry_space_group_name_Hall '-C 2 2'
loop_
_atom_site_label
_atom_site_fract_x
_atom_site_fract_y
_atom_site_fract_z
_atom_site_occupancy
Tb1 0.000 0.203 0.000 1
Pr1 0.000 0.500 0.500 1
Dy1 0.000 0.000 0.000 1
Dy2 0.000 0.282 0.500 1
Dy3 0.177 0.385 0.000 1

***

# Tb5PrDy2 (GGA-PBE, optimized geometry)
# Excess energy over the best structure of this formula in the dataset: 0.00 kcal/mol of atoms
# Energy of formation from the pure elements: 16 meV per atom
# Density of states at the Fermi level: 1.267 states/eV per atom
data_Tb5PrDy2
_cell_length_a 7.158
_cell_length_b 14.316
_cell_length_c 5.043
_cell_angle_alpha 90.00
_cell_angle_beta 90.00
_cell_angle_gamma 90.00
_symmetry_space_group_name_H-M 'P b a m'
_symmetry_Int_Tables_number 55
loop_
_symmetry_equiv_pos_as_xyz
'x,y,z'
'-x,-y,-z'
'-x,-y,z'
'x,y,-z'
'x+1/2,-y+1/2,-z'
'-x+1/2,y+1/2,z'
'-x+1/2,y+1/2,-z'
'x+1/2,-y+1/2,z'
loop_
_atom_site_label
_atom_site_fract_x
_atom_site_fract_y
_atom_site_fract_z
_atom_site_occupancy
Tb1 0.000 0.000 0.000 1
Tb2 0.001 0.249 0.000 1
Tb3 0.249 0.874 0.500 1
Pr1 0.000 0.500 0.000 1
Dy1 0.250 0.126 0.500 1

***

# TbPr6Dy4 (GGA-PBE, optimized geometry)
# Excess energy over the best structure of this formula in the dataset: 0.29 kcal/mol of atoms
# Energy of formation from the pure elements: 295 meV per atom
# Density of states at the Fermi level: 1.406 states/eV per atom
data_TbPr6Dy4
_cell_length_a 6.855
_cell_length_b 6.855
_cell_length_c 16.515
_cell_angle_alpha 90.00
_cell_angle_beta 90.00
_cell_angle_gamma 90.00
_symmetry_space_group_name_H-M 'I -4 2 m'
_symmetry_Int_Tables_number 121
_symmetry_space_group_name_Hall 'I -4 2'
loop_
_atom_site_label
_atom_site_fract_x
_atom_site_fract_y
_atom_site_fract_z
_atom_site_occupancy
Tb1 0.000 0.000 0.000 1
Pr1 0.000 0.500 0.000 1
Pr2 0.192 0.192 0.178 1
Dy1 0.175 0.175 0.386 1

***

# Tb6PrDy3 (GGA-PBE, optimized geometry)
# Excess energy over the best structure of this formula in the dataset: 2.74 kcal/mol of atoms
# Energy of formation from the pure elements: 269 meV per atom
# Density of states at the Fermi level: 2.122 states/eV per atom
data_Tb6PrDy3
_cell_length_a 9.8507
_cell_length_b 9.8507
_cell_length_c 11.7456
_cell_angle_alpha 90.00
_cell_angle_beta 90.00
_cell_angle_gamma 120.00
_symmetry_space_group_name_H-M 'R 3'
_symmetry_Int_Tables_number 146
_symmetry_space_group_name_Hall 'R 3'
loop_
_atom_site_label
_atom_site_fract_x
_atom_site_fract_y
_atom_site_fract_z
_atom_site_occupancy
Tb1 0.9997 0.3307 0.0000 1
Tb2 0.9995 0.6713 0.4999 1
Pr1 0.0000 0.0000 0.0005 1
Dy1 0.0000 0.0000 0.2545 1
Dy2 0.0000 0.0000 0.5008 1
Dy3 0.0000 0.0000 0.7476 1

***

# Tb2Pr3Dy6 (GGA-PBE, optimized geometry)
# Excess energy over the best structure of this formula in the dataset: 2.29 kcal/mol of atoms
# Energy of formation from the pure elements: 267 meV per atom
# Density of states at the Fermi level: 1.438 states/eV per atom
data_Tb2Pr3Dy6
_cell_length_a 4.781
_cell_length_b 4.781
_cell_length_c 33.319
_cell_angle_alpha 90.00
_cell_angle_beta 90.00
_cell_angle_gamma 90.00
_symmetry_space_group_name_H-M 'I 4/m m m'
_symmetry_Int_Tables_number 139
_symmetry_space_group_name_Hall '-I 4 2'
loop_
_atom_site_label
_atom_site_fract_x
_atom_site_fract_y
_atom_site_fract_z
_atom_site_occupancy
Tb1 0.000 0.000 0.046 1
Pr1 0.000 0.000 0.296 1
Pr2 0.000 0.000 0.500 1
Dy1 0.000 0.000 0.192 1
Dy2 0.000 0.500 0.120 1

***

# Tb4PrDy (GGA-PBE, optimized geometry)
# Excess energy over the best structure of this formula in the dataset: 5.22 kcal/mol of atoms
# Energy of formation from the pure elements: 244 meV per atom
# Density of states at the Fermi level: 1.420 states/eV per atom
data_Tb4PrDy
_cell_length_a 6.745
_cell_length_b 12.123
_cell_length_c 9.768
_cell_angle_alpha 90.00
_cell_angle_beta 90.00
_cell_angle_gamma 90.00
_symmetry_space_group_name_H-M 'C m c m'
_symmetry_Int_Tables_number 63
_symmetry_space_group_name_Hall '-C 2c 2'
loop_
_atom_site_label
_atom_site_fract_x
_atom_site_fract_y
_atom_site_fract_z
_atom_site_occupancy
Tb1 0.000 0.153 0.071 1
Tb2 0.241 0.104 0.750 1
Pr1 0.000 0.323 0.750 1
Dy1 0.000 0.500 0.000 1

***

# Tb3Pr5Dy4 (GGA-PBE, optimized geometry)
# Energy of formation from the pure elements: 221 meV per atom
# Density of states at the Fermi level: 1.605 states/eV per atom
data_Tb3Pr5Dy4
_cell_length_a 9.855
_cell_length_b 5.869
_cell_length_c 15.074
_cell_angle_alpha 90.00
_cell_angle_beta 108.86
_cell_angle_gamma 90.00
_symmetry_space_group_name_H-M 'C 1 2/m 1'
_symmetry_Int_Tables_number 12
loop_
_symmetry_equiv_pos_as_xyz
'x,y,z'
'-x,-y,-z'
'-x,y,-z'
'x,-y,z'
'x+1/2,y+1/2,z'
'-x+1/2,-y+1/2,-z'
'-x+1/2,y+1/2,-z'
'x+1/2,-y+1/2,z'
loop_
_atom_site_label
_atom_site_fract_x
_atom_site_fract_y
_atom_site_fract_z
_atom_site_occupancy
Tb1 0.000 0.000 0.000 1
Tb2 0.205 0.500 0.249 1
Pr1 0.000 0.500 0.000 1
Pr2 0.045 0.000 0.246 1
Pr3 0.168 0.000 0.499 1
Dy1 0.062 0.500 0.624 1
Dy2 0.177 0.500 0.857 1

***

# Tb8Pr3Dy3 (GGA-PBE, optimized geometry)
# Energy of formation from the pure elements: 103 meV per atom
# Density of states at the Fermi level: 1.500 states/eV per atom
data_Tb8Pr3Dy3
_cell_length_a 5.691
_cell_length_b 10.856
_cell_length_c 15.112
_cell_angle_alpha 90.00
_cell_angle_beta 90.00
_cell_angle_gamma 90.00
_symmetry_space_group_name_H-M 'I m m m'
_symmetry_Int_Tables_number 71
_symmetry_space_group_name_Hall '-I 2 2'
loop_
_atom_site_label
_atom_site_fract_x
_atom_site_fract_y
_atom_site_fract_z
_atom_site_occupancy
Tb1 0.000 0.159 0.102 1
Tb2 0.000 0.339 0.280 1
Pr1 0.000 0.000 0.317 1
Pr2 0.000 0.500 0.000 1
Dy1 0.000 0.204 0.500 1
Dy2 0.000 0.500 0.500 1

***

# TbPr10Dy4 (GGA-PBE, optimized geometry)
# Energy of formation from the pure elements: 679 meV per atom
# Density of states at the Fermi level: 1.480 states/eV per atom
data_TbPr10Dy4
_cell_length_a 12.439
_cell_length_b 12.439
_cell_length_c 7.873
_cell_angle_alpha 90.00
_cell_angle_beta 90.00
_cell_angle_gamma 90.00
_symmetry_space_group_name_H-M 'I 4/m'
_symmetry_Int_Tables_number 87
_symmetry_space_group_name_Hall '-I 4'
loop_
_atom_site_label
_atom_site_fract_x
_atom_site_fract_y
_atom_site_fract_z
_atom_site_occupancy
Tb1 0.000 0.000 0.000 1
Pr1 0.000 0.500 0.250 1
Pr2 0.100 0.799 0.250 1
Dy1 0.100 0.299 0.500 1

***

# Tb2Pr6Dy (GGA-PBE, optimized geometry)
# Excess energy over the best structure of this formula in the dataset: 10.70 kcal/mol of atoms
# Energy of formation from the pure elements: 591 meV per atom
# Density of states at the Fermi level: 1.785 states/eV per atom
data_Tb2Pr6Dy
_cell_length_a 8.334
_cell_length_b 8.334
_cell_length_c 10.590
_cell_angle_alpha 90.00
_cell_angle_beta 90.00
_cell_angle_gamma 90.00
_symmetry_space_group_name_H-M 'P 42/m n m'
_symmetry_Int_Tables_number 136
_symmetry_space_group_name_Hall '-P 4n 2n'
loop_
_atom_site_label
_atom_site_fract_x
_atom_site_fract_y
_atom_site_fract_z
_atom_site_occupancy
Tb1 0.000 0.000 0.167 1
Pr1 0.239 0.239 0.000 1
Pr2 0.239 0.239 0.333 1
Dy1 0.000 0.000 0.500 1

***

# Tb5Pr2Dy2 (GGA-PBE, optimized geometry)
# Excess energy over the best structure of this formula in the dataset: 0.00 kcal/mol of atoms
# Energy of formation from the pure elements: 208 meV per atom
# Density of states at the Fermi level: 1.584 states/eV per atom
data_Tb5Pr2Dy2
_cell_length_a 14.975
_cell_length_b 11.880
_cell_length_c 6.760
_cell_angle_alpha 90.00
_cell_angle_beta 90.00
_cell_angle_gamma 90.00
_symmetry_space_group_name_H-M 'I m a 2'
_symmetry_Int_Tables_number 46
loop_
_symmetry_equiv_pos_as_xyz
'x,y,z'
'-x,-y,z'
'-x+1/2,y,z'
'x+1/2,-y,z'
'x+1/2,y+1/2,z+1/2'
'-x+1/2,-y+1/2,z+1/2'
'-x,y+1/2,z+1/2'
'x,-y+1/2,z+1/2'
loop_
_atom_site_label
_atom_site_fract_x
_atom_site_fract_y
_atom_site_fract_z
_atom_site_occupancy
Tb1 0.053 0.247 0.000 1
Tb2 0.143 0.734 0.177 1
Tb3 0.250 0.243 0.203 1
Pr1 0.127 0.000 0.352 1
Dy1 0.000 0.000 0.813 1
Dy2 0.250 0.510 0.396 1

***

# TbPr12Dy6 (GGA-PBE, optimized geometry)
# Excess energy over the best structure of this formula in the dataset: 2.41 kcal/mol of atoms
# Energy of formation from the pure elements: 232 meV per atom
# Density of states at the Fermi level: 1.547 states/eV per atom
data_TbPr12Dy6
_cell_length_a 14.9570
_cell_length_b 14.9570
_cell_length_c 10.5553
_cell_angle_alpha 90.00
_cell_angle_beta 90.00
_cell_angle_gamma 120.00
_symmetry_space_group_name_H-M 'R -3'
_symmetry_Int_Tables_number 148
_symmetry_space_group_name_Hall '-R 3'
loop_
_atom_site_label
_atom_site_fract_x
_atom_site_fract_y
_atom_site_fract_z
_atom_site_occupancy
Tb1 0.0000 0.0000 0.0000 1
Pr1 0.0522 0.2523 0.0783 1
Pr2 0.0646 0.2269 0.4195 1
Dy1 0.0501 0.2128 0.7589 1

***

# Tb2PrDy7 (GGA-PBE, optimized geometry)
# Excess energy over the best structure of this formula in the dataset: 0.00 kcal/mol of atoms
# Energy of formation from the pure elements: 45 meV per atom
# Density of states at the Fermi level: 1.699 states/eV per atom
data_Tb2PrDy7
_cell_length_a 5.452
_cell_length_b 7.040
_cell_length_c 9.473
_cell_angle_alpha 111.76
_cell_angle_beta 106.70
_cell_angle_gamma 90.04
_symmetry_space_group_name_H-M 'P -1'
_symmetry_Int_Tables_number 2
loop_
_symmetry_equiv_pos_as_xyz
'x,y,z'
'-x,-y,-z'
loop_
_atom_site_label
_atom_site_fract_x
_atom_site_fract_y
_atom_site_fract_z
_atom_site_occupancy
Tb1 0.199 0.199 0.398 1
Pr1 0.000 0.500 0.000 1
Dy1 0.000 0.000 0.000 1
Dy2 0.201 0.701 0.401 1
Dy3 0.390 0.138 0.781 1
Dy4 0.390 0.642 0.781 1

***

# Tb2PrDy (GGA-PBE, optimized geometry)
# Excess energy over the best structure of this formula in the dataset: 0.02 kcal/mol of atoms
# Energy of formation from the pure elements: 19 meV per atom
# Density of states at the Fermi level: 1.417 states/eV per atom
data_Tb2PrDy
_cell_length_a 5.094
_cell_length_b 5.094
_cell_length_c 10.127
_cell_angle_alpha 90.00
_cell_angle_beta 90.00
_cell_angle_gamma 90.00
_symmetry_space_group_name_H-M 'I -4 m 2'
_symmetry_Int_Tables_number 119
_symmetry_space_group_name_Hall 'I -4 -2'
loop_
_atom_site_label
_atom_site_fract_x
_atom_site_fract_y
_atom_site_fract_z
_atom_site_occupancy
Tb1 0.000 0.000 0.000 1
Tb2 0.000 0.500 0.250 1
Pr1 0.000 0.500 0.750 1
Dy1 0.000 0.000 0.500 1

***

# Tb5Pr5Dy (GGA-PBE, optimized geometry)
# Energy of formation from the pure elements: 251 meV per atom
# Density of states at the Fermi level: 1.690 states/eV per atom
data_Tb5Pr5Dy
_cell_length_a 19.093
_cell_length_b 6.063
_cell_length_c 7.080
_cell_angle_alpha 90.00
_cell_angle_beta 111.65
_cell_angle_gamma 90.00
_symmetry_space_group_name_H-M 'C 1 2/m 1'
_symmetry_Int_Tables_number 12
loop_
_symmetry_equiv_pos_as_xyz
'x,y,z'
'-x,-y,-z'
'-x,y,-z'
'x,-y,z'
'x+1/2,y+1/2,z'
'-x+1/2,-y+1/2,-z'
'-x+1/2,y+1/2,-z'
'x+1/2,-y+1/2,z'
loop_
_atom_site_label
_atom_site_fract_x
_atom_site_fract_y
_atom_site_fract_z
_atom_site_occupancy
Tb1 0.000 0.000 0.000 1
Tb2 0.123 0.500 0.124 1
Tb3 0.169 0.500 0.670 1
Pr1 0.000 0.500 0.500 1
Pr2 0.175 0.000 0.431 1
Pr3 0.175 0.000 0.920 1
Dy1 0.000 0.000 0.500 1